Compound: GdLuInSn
Source: the Alexandria database
Functional: GGA-PBE
Structure: optimized geometry

Cell and atoms, written as POSCAR:
```
GdLuInSn
1.0
5.315 0.000 0.000
2.657 4.603 0.000
2.657 1.534 4.340
Gd Lu Sn In
1 1 1 1
direct
0.000 0.000 0.000 Gd
0.500 0.500 0.500 Lu
0.250 0.250 0.250 Sn
0.750 0.750 0.750 In
```

**E_tot**: -27.280 eV/cell
**DFT formation energy**: -0.484 eV/atom
**Calculated volume**: 26.540 Å³/atom

---

Compound: Hf2ZrNb3N6
Source: the Alexandria database
Functional: GGA-PBE
Structure: optimized geometry

Cell and atoms, written as POSCAR:
```
Hf2ZrNb3N6
1.0
-3.618 -0.812 4.116
2.446 -4.326 -2.447
4.252 1.927 2.897
Hf Zr Nb N
2 1 3 6
direct
0.332 0.668 0.000 Hf
0.668 0.332 0.000 Hf
0.000 0.000 0.000 Zr
0.153 0.847 0.500 Nb
0.847 0.153 0.500 Nb
0.500 0.500 0.500 Nb
0.918 0.572 0.749 N
0.733 0.733 0.235 N
0.082 0.428 0.251 N
0.572 0.918 0.749 N
0.267 0.267 0.765 N
0.428 0.082 0.251 N
```

**E_tot**: -124.765 eV/cell
**Formation energy without anion corrections**: -1.346 eV per atom
**Calculated volume**: 11.465 Å³/atom

---

Compound: BaBr2
Source: the Alexandria database
Functional: GGA-PBE
Structure: optimized geometry

Cell and atoms, written as POSCAR:
```
BaBr2
1.0
4.404 -5.049 -0.287
-3.218 -1.112 5.777
-4.130 0.140 -5.281
Ba Br
2 4
direct
0.250 0.250 0.000 Ba
0.750 0.750 0.000 Ba
0.296 0.796 0.093 Br
0.704 0.204 0.907 Br
0.204 0.296 0.500 Br
0.796 0.704 0.500 Br
```

**E_tot**: -23.038 eV/cell
**Formation energy without anion corrections**: -2.083 eV per atom
**Calculated volume**: 38.337 Å³/atom

---

Compound: LaHoCo2
Source: the Alexandria database
Functional: GGA-PBE
Structure: optimized geometry

Cell and atoms, written as POSCAR:
```
LaHoCo2
1.0
4.832 0.000 0.000
2.416 4.184 0.000
2.416 1.395 3.945
Co Ho La
2 1 1
direct
0.250 0.250 0.250 Co
0.750 0.750 0.750 Co
0.500 0.500 0.500 Ho
0.000 0.000 0.000 La
```

**E_tot**: -23.879 eV/cell
**Offset from the most stable computed form**: 84 meV per atom
**DFT formation energy**: -0.041 eV/atom
**Calculated volume**: 19.938 Å³/atom

---

Compound: BaCdAgAs2
Source: the Alexandria database
Functional: GGA-PBE
Structure: optimized geometry

Cell and atoms, written as POSCAR:
```
BaCdAgAs2
1.0
4.467 0.000 0.000
0.000 4.467 0.000
-2.233 -2.233 6.328
Ba Cd Ag As
1 1 1 2
direct
0.000 0.000 0.000 Ba
0.250 0.750 0.500 Cd
0.750 0.250 0.500 Ag
0.617 0.617 0.233 As
0.383 0.383 0.767 As
```

**E_tot**: -17.581 eV/cell
**DFT formation energy**: -0.519 eV/atom
**Calculated volume**: 25.250 Å³/atom

---

Compound: Ni2OsCl
Source: the Alexandria database
Functional: GGA-PBE
Structure: optimized geometry

Cell and atoms, written as POSCAR:
```
Ni2OsCl
1.0
-0.207 -6.956 -3.919
1.787 -7.515 -2.031
-0.914 -7.819 -1.348
Cl Ni Os
1 2 1
direct
0.256 0.256 0.256 Cl
0.999 0.999 0.999 Ni
0.748 0.748 0.748 Ni
0.496 0.496 0.496 Os
```

**E_tot**: -22.551 eV/cell
**Offset from the most stable computed form**: 252 meV per atom
**Formation energy without anion corrections**: 0.522 eV per atom
**Calculated volume**: 13.296 Å³/atom

---

Compound: Ba6Na3Pd2Pt
Source: the Alexandria database
Functional: GGA-PBE
Structure: optimized geometry

Cell and atoms, written as POSCAR:
```
Ba6Na3Pd2Pt
1.0
-2.063 -7.489 -1.532
3.274 4.457 -5.666
8.908 -2.134 5.333
Ba Na Pd Pt
6 3 2 1
direct
0.943 0.613 0.830 Ba
0.728 0.728 0.172 Ba
0.057 0.387 0.170 Ba
0.613 0.943 0.830 Ba
0.272 0.272 0.828 Ba
0.387 0.057 0.170 Ba
0.171 0.829 0.500 Na
0.829 0.171 0.500 Na
0.500 0.500 0.500 Na
0.334 0.666 0.000 Pd
0.666 0.334 0.000 Pd
0.000 0.000 0.000 Pt
```

**E_tot**: -36.033 eV/cell
**DFT formation energy**: -0.343 eV/atom
**Calculated volume**: 46.350 Å³/atom

---

Compound: Sm2Er3Sc8
Source: the Alexandria database
Functional: GGA-PBE
Structure: optimized geometry

Cell and atoms, written as POSCAR:
```
Sm2Er3Sc8
1.0
6.260 0.000 1.542
0.000 8.629 0.000
-0.495 -4.314 6.836
Sm Er Sc
2 3 8
direct
0.191 0.227 0.453 Sm
0.809 0.773 0.547 Sm
0.500 0.000 0.000 Er
0.000 0.178 0.000 Er
0.000 0.822 0.000 Er
0.160 0.571 0.143 Sc
0.840 0.429 0.857 Sc
0.703 0.204 0.408 Sc
0.297 0.796 0.592 Sc
0.451 0.567 0.772 Sc
0.451 0.205 0.772 Sc
0.549 0.795 0.228 Sc
0.549 0.433 0.228 Sc
```

**E_tot**: -70.600 eV/cell
**DFT formation energy**: 0.245 eV/atom
**Calculated volume**: 28.913 Å³/atom